DyHo3Mg7: optimized geometry, PBE-GGA.

a = 6.0559 Å, b = 8.4426 Å, c = 8.4426 Å
α = 73.95°, β = 121.47°, γ = 121.47°
Atoms (fractional coordinates):
Mg1 0.6955 0.9489 0.4360
Mg2 0.6955 0.4360 0.9489
Dy1 0.5000 0.5000 0.5000
Mg3 0.0000 0.5000 0.5000
Ho1 0.0000 0.8078 0.1922
Ho2 0.0000 0.1922 0.8078
Mg4 0.3045 0.5640 0.0511
Ho3 0.5000 0.0000 0.0000
Mg5 0.4541 0.2375 0.2375
Mg6 0.3045 0.0511 0.5640
Mg7 0.5459 0.7625 0.7625

Calculated values
ΔE_f: 0.2004 eV/atom
Energy: -27.294 eV per formula unit
ΔE to the lowest computed polymorph: 104.6 meV per atom
Space group: C2/m (12)
DOS at the Fermi energy: 0.88 states/eV/atom

Dy4HoMg7: optimized geometry, PBE-GGA.

a = 5.2928 Å, b = 5.2928 Å, c = 13.2044 Å
α = 90.00°, β = 90.00°, γ = 120.00°
Atoms (fractional coordinates):
Mg1 0.6667 0.3333 0.8181
Mg2 0.0000 0.0000 0.2381
Mg3 0.6667 0.3333 0.5825
Dy1 0.6667 0.3333 0.3388
Mg4 0.3333 0.6667 0.4175
Dy2 0.3333 0.6667 0.6612
Dy3 0.6667 0.3333 0.0787
Mg5 0.0000 0.0000 0.7619
Dy4 0.3333 0.6667 0.9213
Ho1 0.0000 0.0000 0.5000
Mg6 0.0000 0.0000 0.0000
Mg7 0.3333 0.6667 0.1819

Calculated values
ΔE_f: -0.0218 eV/atom
Energy: -34.410 eV per formula unit
ΔE to the lowest computed polymorph: 0.0 meV per atom
Space group: P-3m1 (164)
DOS at the Fermi energy: 1.14 states/eV/atom

DyHo3Mg: optimized geometry, PBE-GGA.

a = 3.4584 Å, b = 12.7995 Å, c = 6.9108 Å
α = 90.00°, β = 90.00°, γ = 97.73°
Atoms (fractional coordinates):
Mg1 0.6831 0.8711 0.2500
Ho1 0.0986 0.6983 0.5093
Dy1 0.7043 0.9069 0.7500
Ho2 0.9014 0.3017 0.4907
Ho3 0.5013 0.5026 0.2500
Ho4 0.0986 0.6983 0.9907
Ho5 0.9014 0.3017 0.0093
Mg2 0.3169 0.1289 0.7500
Ho6 0.4987 0.4974 0.7500
Dy2 0.2957 0.0931 0.2500

Calculated values
ΔE_f: 0.0628 eV/atom
Energy: -19.616 eV per formula unit
ΔE to the lowest computed polymorph: 79.4 meV per atom
Space group: P2_1/m (11)
DOS at the Fermi energy: 1.23 states/eV/atom